## KV4Pb3O12 (PBE+U)

Data for KV4Pb3O12 after structural relaxation.

Calculated values
Space-group type: R32 (155)
M_tot, μB per formula unit: 3.00
Calculated density, Mg/m³: 5.02
Final energy, eV/atom: -6.549

Structure (POSCAR):
```
KV4Pb3O12
1.0
6.638 3.833 2.289
-6.638 3.833 2.289
0.000 -7.665 2.289
K V Pb O
1 4 3 12
direct
0.000 0.000 0.000 K
0.080 0.500 0.920 V
0.500 0.500 0.500 V
0.500 0.920 0.080 V
0.920 0.080 0.500 V
0.000 0.554 0.446 Pb
0.446 0.000 0.554 Pb
0.554 0.446 0.000 Pb
0.049 0.951 0.500 O
0.140 0.652 0.800 O
0.200 0.348 0.860 O
0.348 0.860 0.200 O
0.370 0.630 0.500 O
0.500 0.049 0.951 O
0.500 0.370 0.630 O
0.630 0.500 0.370 O
0.652 0.800 0.140 O
0.800 0.140 0.652 O
0.860 0.200 0.348 O
0.951 0.500 0.049 O
```